10
Lattice="4.916 0.000 0.000 0.000 4.916 0.000 0.000 0.000 10.815" Properties=species:S:1:pos:R:3 comment="Sr2Ga3Sn4Pd PBE-GGA optimized geometry" final_energy_ry_per_atom=-0.2766 formation_energy_ev_per_atom=-0.399 total_magnetization_mub_per_cell=0.00 pbc="T T T"
Sr 0.000 2.458 2.512
Sr 2.458 0.000 8.303
Ga 0.000 0.000 0.000
Ga 0.000 2.458 6.837
Ga 2.458 0.000 3.979
Sn 0.000 0.000 5.408
Sn 0.000 2.458 9.533
Sn 2.458 0.000 1.282
Sn 2.458 2.458 5.408
Pd 2.458 2.458 0.000


10
Lattice="4.591 0.000 0.000 0.000 4.591 0.000 0.000 0.000 11.422" Properties=species:S:1:pos:R:3 comment="Sr2GaSn4Pd3 PBE-GGA optimized geometry" final_energy_ry_per_atom=-0.3260 formation_energy_ev_per_atom=-0.637 total_magnetization_mub_per_cell=0.00 pbc="T T T"
Sr 0.000 2.295 2.833
Sr 2.295 0.000 8.589
Ga 2.295 2.295 0.000
Sn 0.000 0.000 5.711
Sn 0.000 2.295 9.870
Sn 2.295 0.000 1.552
Sn 2.295 2.295 5.711
Pd 0.000 0.000 0.000
Pd 0.000 2.295 7.202
Pd 2.295 0.000 4.219


12
Lattice="3.263 -6.304 0.000 3.263 6.304 0.000 0.000 0.000 6.403" Properties=species:S:1:pos:R:3 comment="SrGaSnPd3 PBE-GGA optimized geometry" final_energy_ry_per_atom=-0.3374 formation_energy_ev_per_atom=-0.543 total_magnetization_mub_per_cell=0.00 pbc="T T T"
Sr 3.263 3.704 4.802
Sr 3.263 -3.704 1.601
Ga 3.263 0.522 4.802
Ga 3.263 -0.522 1.601
Sn 3.263 4.649 1.601
Sn 3.263 -4.649 4.802
Pd 1.446 0.000 0.000
Pd 1.446 0.000 3.202
Pd 3.263 2.014 1.601
Pd 3.263 -2.014 4.802
Pd 5.079 0.000 0.000
Pd 5.079 0.000 3.202


12
Lattice="6.388 0.000 0.000 -3.194 5.532 0.000 0.000 0.000 10.041" Properties=species:S:1:pos:R:3 comment="Sr3GaSn6Pd2 PBE-GGA optimized geometry" final_energy_ry_per_atom=-0.2778 formation_energy_ev_per_atom=-0.240 total_magnetization_mub_per_cell=0.00 pbc="T T T"
Sr 0.000 0.000 0.000
Sr 0.000 3.688 5.901
Sr 3.194 1.844 4.140
Ga 0.000 0.000 5.020
Sn 0.000 1.890 2.751
Sn -1.557 4.587 2.751
Sn 1.637 0.945 7.290
Sn 1.557 4.587 2.751
Sn 4.751 0.945 7.290
Sn 3.194 3.642 7.290
Pd 0.000 3.688 0.662
Pd 3.194 1.844 9.379


6
Lattice="4.807 0.000 0.000 0.000 4.807 0.000 0.000 0.000 6.246" Properties=species:S:1:pos:R:3 comment="SrGaSn2Pd2 PBE-GGA optimized geometry" final_energy_ry_per_atom=-0.3192 formation_energy_ev_per_atom=-0.493 total_magnetization_mub_per_cell=0.00 pbc="T T T"
Sr 0.000 0.000 0.000
Ga 0.000 0.000 3.123
Sn 2.404 2.404 1.522
Sn 2.404 2.404 4.724
Pd 0.000 2.404 3.123
Pd 2.404 0.000 3.123


12
Lattice="5.966 0.000 0.000 -2.983 5.167 0.000 0.000 0.000 8.841" Properties=species:S:1:pos:R:3 comment="Sr3GaSn2Pd6 PBE-GGA optimized geometry" final_energy_ry_per_atom=-0.3336 formation_energy_ev_per_atom=-0.603 total_magnetization_mub_per_cell=0.00 pbc="T T T"
Sr 0.000 0.000 0.000
Sr 0.000 3.444 5.506
Sr 2.983 1.722 3.335
Ga 0.000 0.000 4.421
Sn 0.000 3.444 0.393
Sn 2.983 1.722 8.448
Pd 0.000 1.770 2.597
Pd -1.450 4.282 2.597
Pd 1.533 0.885 6.244
Pd 1.450 4.282 2.597
Pd 4.433 0.885 6.244
Pd 2.983 3.397 6.244


9
Lattice="4.844 0.000 0.000 0.000 4.844 0.000 0.000 0.000 7.498" Properties=species:S:1:pos:R:3 comment="SrGa2SnPd5 PBE-GGA optimized geometry" final_energy_ry_per_atom=-0.3403 formation_energy_ev_per_atom=-0.441 total_magnetization_mub_per_cell=0.00 pbc="T T T"
Sr 0.000 0.000 0.000
Ga 2.422 2.422 2.474
Ga 2.422 2.422 5.024
Sn 0.000 0.000 3.749
Pd 0.000 2.422 2.188
Pd 0.000 2.422 5.310
Pd 2.422 0.000 2.188
Pd 2.422 0.000 5.310
Pd 2.422 2.422 0.000


12
Lattice="4.466 0.000 0.000 -2.233 3.868 0.000 0.000 0.000 17.562" Properties=species:S:1:pos:R:3 comment="SrGaSnPd PBE-GGA optimized geometry" final_energy_ry_per_atom=-0.3021 formation_energy_ev_per_atom=-0.635 total_magnetization_mub_per_cell=0.00 pbc="T T T"
Sr 0.000 0.000 0.000
Sr 0.000 2.578 11.708
Sr 2.233 1.289 5.854
Ga 0.000 0.000 7.904
Ga 0.000 2.578 2.050
Ga 2.233 1.289 13.758
Sn 0.000 0.000 3.583
Sn 0.000 2.578 15.290
Sn 2.233 1.289 9.436
Pd 0.000 0.000 14.172
Pd 0.000 2.578 8.318
Pd 2.233 1.289 2.464


10
Lattice="6.173 -2.841 0.000 6.173 2.841 0.000 -5.846 0.000 6.360" Properties=species:S:1:pos:R:3 comment="Sr2GaSnPd6 PBE-GGA optimized geometry" final_energy_ry_per_atom=-0.3492 formation_energy_ev_per_atom=-0.596 total_magnetization_mub_per_cell=0.00 pbc="T T T"
Sr 1.403 0.000 1.796
Sr 5.096 0.000 4.564
Ga 6.173 0.000 0.000
Sn -2.923 0.000 3.180
Pd 4.687 1.402 1.490
Pd -2.151 0.000 5.738
Pd 1.812 1.402 4.870
Pd 4.687 -1.402 1.490
Pd 8.650 0.000 0.622
Pd 1.812 -1.402 4.870


12
Lattice="2.900 -6.469 0.000 2.900 6.469 0.000 0.000 0.000 6.331" Properties=species:S:1:pos:R:3 comment="TbGaSnPd3 PBE-GGA optimized geometry" final_energy_ry_per_atom=-0.3767 formation_energy_ev_per_atom=-0.586 total_magnetization_mub_per_cell=0.00 pbc="T T T"
Tb 2.900 4.238 4.748
Tb 2.900 -4.238 1.583
Ga 2.900 1.235 4.748
Ga 2.900 -1.235 1.583
Sn 2.900 4.577 1.583
Sn 2.900 -4.577 4.748
Pd 1.392 0.000 0.000
Pd 1.392 0.000 3.165
Pd 2.900 1.939 1.583
Pd 2.900 -1.939 4.748
Pd 4.409 0.000 0.000
Pd 4.409 0.000 3.165


16
Lattice="6.934 0.000 0.000 0.000 6.934 0.000 0.000 0.000 6.934" Properties=species:S:1:pos:R:3 comment="TbGaSnPd PBE-GGA optimized geometry" final_energy_ry_per_atom=-0.3555 formation_energy_ev_per_atom=-0.624 total_magnetization_mub_per_cell=0.00 pbc="T T T"
Tb 0.000 0.000 0.000
Tb 0.000 3.467 3.467
Tb 3.467 0.000 3.467
Tb 3.467 3.467 0.000
Ga 1.734 1.734 5.201
Ga 1.734 5.201 1.734
Ga 5.201 1.734 1.734
Ga 5.201 5.201 5.201
Sn 0.000 0.000 3.467
Sn 0.000 3.467 0.000
Sn 3.467 0.000 0.000
Sn 3.467 3.467 3.467
Pd 1.734 1.734 1.734
Pd 1.734 5.201 5.201
Pd 5.201 1.734 5.201
Pd 5.201 5.201 1.734


20
Lattice="9.993 0.000 0.000 0.000 9.993 0.000 0.000 0.000 3.739" Properties=species:S:1:pos:R:3 comment="Tb2Ga2SnPd5 PBE-GGA optimized geometry" final_energy_ry_per_atom=-0.3875 formation_energy_ev_per_atom=-0.744 total_magnetization_mub_per_cell=0.00 pbc="T T T"
Tb 1.781 3.215 0.000
Tb 3.215 8.212 0.000
Tb 6.778 1.781 0.000
Tb 8.212 6.778 0.000
Ga 1.196 6.192 0.000
Ga 3.801 1.196 0.000
Ga 6.192 8.797 0.000
Ga 8.797 3.801 0.000
Sn 0.000 0.000 0.000
Sn 4.996 4.996 0.000
Pd 0.000 4.996 1.870
Pd 0.588 7.889 1.870
Pd 2.104 0.588 1.870
Pd 2.893 5.584 1.870
Pd 4.409 2.893 1.870
Pd 4.996 0.000 1.870
Pd 5.584 7.100 1.870
Pd 7.100 4.409 1.870
Pd 7.889 9.405 1.870
Pd 9.405 2.104 1.870